Record 1
## Ag2BrCl (PBE)

Data for an optimized crystal structure of Ag2BrCl.

The calculation puts the raw total energy at -2.22 eV per atom. Its formation energy (no corrections) is 90 meV per atom.

The structure belongs to space group F-43m (No. 216); the cell edges are 7.040, 7.040 and 7.040 Å and the angles 90.00°, 90.00° and 90.00°. The asymmetric unit holds Ag at (0.000, 0.000, 0.000), Ag at (0.250, 0.250, 0.250), Br at (0.250, 0.250, 0.750) and Cl at (0.000, 0.000, 0.500).



Record 2
## Ag2I3 (PBE)

Data for an optimized crystal structure of Ag2I3.

The calculation puts the raw total energy at -2.19 eV per atom. Its formation energy (no corrections) is -121 meV per atom.

The structure belongs to space group C2/c (No. 15); the cell edges are 12.053, 8.217 and 7.887 Å and the angles 90.00°, 116.77° and 90.00°. The asymmetric unit holds Ag at (0.092, 0.208, 0.047), I at (0.000, 0.393, 0.250) and I at (0.164, 0.122, 0.763).



Record 3
## K3Ac2PbO6 (PBE)

Data for an optimized crystal structure of K3Ac2PbO6.

The calculation puts the raw total energy at -5.81 eV per atom. Its formation energy (no corrections) is -2067 meV per atom.

The structure belongs to space group C2/m (No. 12); the cell edges are 6.543, 11.332 and 6.733 Å and the angles 90.00°, 108.69° and 90.00°. The asymmetric unit holds K at (0.000, 0.000, 0.000), K at (0.000, 0.342, 0.000), Ac at (0.000, 0.167, 0.500), Pb at (0.000, 0.500, 0.500), O at (0.231, 0.336, 0.701) and O at (0.237, 0.000, 0.701).



Record 4
## AgS2F2 (PBE)

Data for an optimized crystal structure of AgS2F2.

The calculation puts the raw total energy at -3.24 eV per atom. Its formation energy (no corrections) is -269 meV per atom.

The structure belongs to space group I4/mmm (No. 139); the cell edges are 3.184, 3.184 and 16.038 Å and the angles 90.00°, 90.00° and 90.00°. The asymmetric unit holds Ag at (0.000, 0.000, 0.000), S at (0.000, 0.500, 0.250) and F at (0.000, 0.000, 0.422).